No. 1
First-principles (PBE-GGA) data for a relaxed structure of ScMo2Au, as listed in Alexandria via LeMat-Bulk.

a b c (Å): 9.449 2.817 5.274
angles (deg): 90.00 95.29 90.00
Positions (direct):
Sc 0.000 0.000 0.000
Sc 0.500 0.500 0.000
Mo 0.023 0.500 0.487
Mo 0.264 0.500 0.290
Mo 0.523 0.000 0.487
Mo 0.764 0.000 0.290
Au 0.256 0.000 0.781
Au 0.756 0.500 0.781

Output
calculated total energy: -61.619 eV/cell
polymorph energy (0 for the lowest one): 0.88 eV/f.u.
ΔH_f (0 K): 0.12 eV/atom
density of states at the Fermi level: 0.948 states/eV/atom
symmetry: Cm (8)


No. 2
First-principles (PBE-GGA) data for a relaxed structure of ScMo3Au, as listed in Alexandria via LeMat-Bulk.

a b c (Å): 4.870 4.870 4.870
angles (deg): 90.00 90.00 90.00
Positions (direct):
Sc 0.000 0.000 0.000
Mo 0.000 0.500 0.500
Mo 0.500 0.000 0.500
Mo 0.500 0.500 0.000
Au 0.500 0.500 0.500

Output
calculated total energy: -32.744 eV/cell
polymorph energy (0 for the lowest one): 0.07 eV/f.u.
ΔH_f (0 K): 1.87 eV/atom
density of states at the Fermi level: 1.535 states/eV/atom
symmetry: Pm-3m (221)


No. 3
First-principles (PBE-GGA) data for a relaxed structure of ScMoAu4, as listed in Alexandria via LeMat-Bulk.

a b c (Å): 5.473 5.473 5.473
angles (deg): 60.00 60.00 60.00
Positions (direct):
Sc 0.000 0.000 0.000
Mo 0.250 0.250 0.250
Au 0.125 0.625 0.625
Au 0.625 0.125 0.625
Au 0.625 0.625 0.125
Au 0.625 0.625 0.625

Output
calculated total energy: -29.443 eV/cell
ΔH_f (0 K): 0.14 eV/atom
density of states at the Fermi level: 0.842 states/eV/atom
symmetry: F-43m (216)


Please write out number 3 again, unchanged.
First-principles (PBE-GGA) data for a relaxed structure of ScMoAu4, as listed in Alexandria via LeMat-Bulk.

a b c (Å): 5.473 5.473 5.473
angles (deg): 60.00 60.00 60.00
Positions (direct):
Sc 0.000 0.000 0.000
Mo 0.250 0.250 0.250
Au 0.125 0.625 0.625
Au 0.625 0.125 0.625
Au 0.625 0.625 0.125
Au 0.625 0.625 0.625

Output
calculated total energy: -29.443 eV/cell
ΔH_f (0 K): 0.14 eV/atom
density of states at the Fermi level: 0.842 states/eV/atom
symmetry: F-43m (216)


- Which of these has the highest density of states at the Fermi level?
  ScMo3Au


Repeat the first record exactly.
First-principles (PBE-GGA) data for a relaxed structure of ScMo2Au, as listed in Alexandria via LeMat-Bulk.

a b c (Å): 9.449 2.817 5.274
angles (deg): 90.00 95.29 90.00
Positions (direct):
Sc 0.000 0.000 0.000
Sc 0.500 0.500 0.000
Mo 0.023 0.500 0.487
Mo 0.264 0.500 0.290
Mo 0.523 0.000 0.487
Mo 0.764 0.000 0.290
Au 0.256 0.000 0.781
Au 0.756 0.500 0.781

Output
calculated total energy: -61.619 eV/cell
polymorph energy (0 for the lowest one): 0.88 eV/f.u.
ΔH_f (0 K): 0.12 eV/atom
density of states at the Fermi level: 0.948 states/eV/atom
symmetry: Cm (8)